1.
Entry from the Alexandria database: a relaxed Nd4Cd5Ge6 crystal (PBE).

Cell: 4.4689 10.2567 16.0987 Å, 90.00 90.00 102.58°
Last column: nearest neighbours and their distance in Å.
Atoms (fractional coordinates):
1 Nd 0.1751 0.3501 0.9447  6 Ge 3.00-3.16
2 Nd 0.8249 0.6499 0.4447  6 Ge 3.00-3.16
3 Ge 0.5533 0.1066 0.3555  1 Ge 2.57, 2 Cd 2.76-2.78
4 Ge 0.7734 0.5468 0.9769  4 Cd 2.72-2.80, 2 Nd 3.02
5 Ge 0.4327 0.8655 0.4102  1 Ge 2.57, 1 Cd 2.84
6 Ge 0.7652 0.5304 0.2707  4 Cd 2.71-2.84
7 Nd 0.8366 0.6733 0.8025  6 Ge 3.07-3.25
8 Cd 0.4380 0.8761 0.6829  4 Ge 2.69-2.78, 1 Cd 2.92
9 Ge 0.5673 0.1345 0.9102  1 Ge 2.57, 1 Cd 2.84
10 Cd 0.3506 0.7012 0.9781  4 Ge 2.72-2.94
11 Ge 0.5677 0.1354 0.6295  5 Cd 2.73-2.97
12 Ge 0.4323 0.8646 0.1295  5 Cd 2.73-2.97
13 Cd 0.3007 0.6014 0.6210  4 Ge 2.75-2.84, 2 Cd 2.92-2.94
14 Nd 0.9847 0.9695 0.0025  7 Ge 3.10-3.34, 1 Cd 3.41
15 Nd 0.1634 0.3267 0.3025  6 Ge 3.07-3.25
16 Cd 0.1539 0.3078 0.6257  4 Ge 2.80-2.84, 1 Cd 2.94
17 Cd 0.8461 0.6922 0.1257  4 Ge 2.80-2.84, 1 Cd 2.94
18 Nd 0.0153 0.0305 0.5025  7 Ge 3.10-3.34, 1 Cd 3.41
19 Cd 0.6494 0.2988 0.4781  4 Ge 2.72-2.94
20 Ge 0.8884 0.7769 0.6135  4 Cd 2.69-2.84, 1 Nd 3.00
21 Nd 0.9654 0.9308 0.2665  6 Ge 3.18-3.28, 5 Cd 3.25-3.34
22 Ge 0.2266 0.4532 0.4769  4 Cd 2.72-2.80, 2 Nd 3.02
23 Ge 0.4467 0.8934 0.8555  1 Ge 2.57, 2 Cd 2.76-2.78
24 Cd 0.3416 0.6832 0.2754  4 Ge 2.71-2.97
25 Cd 0.6584 0.3168 0.7754  4 Ge 2.71-2.97
26 Ge 0.1116 0.2231 0.1135  4 Cd 2.69-2.84, 1 Nd 3.00
27 Ge 0.2348 0.4696 0.7707  4 Cd 2.71-2.84
28 Cd 0.5620 0.1239 0.1829  4 Ge 2.69-2.78, 1 Cd 2.92
29 Cd 0.6993 0.3986 0.1210  4 Ge 2.75-2.84, 2 Cd 2.92-2.94
30 Nd 0.0346 0.0692 0.7665  6 Ge 3.18-3.28, 5 Cd 3.25-3.34

Computed properties:
Its space group is Cmc2_1 (36). As for the formation energy: -0.505 eV/atom. For the total moment, the calculation gives 0.0 μB/cell. The density of states at the Fermi level is 2.744 states/eV per cell. The volume is 24.01 Å³/atom.

---

2.
Entry from the Alexandria database: a relaxed NdCdGe crystal (PBE).

Cell: 3.4999 3.4999 6.5007 Å, 105.62 105.62 90.00°
Last column: nearest neighbours and their distance in Å.
Atoms (fractional coordinates):
1 Nd 0.6249 0.6249 0.2498  4 Ge 3.19, 4 Cd 3.39, 4 Nd 3.50
2 Cd 0.9324 0.9324 0.8648  4 Ge 2.99
3 Ge 0.2927 0.2927 0.5854  4 Cd 2.99, 4 Nd 3.19

Computed properties:
Its space group is I4mm (107). As for the formation energy: -0.266 eV/atom. For the total moment, the calculation gives 0.0 μB/cell. The density of states at the Fermi level is 1.861 states/eV per cell. The volume is 24.54 Å³/atom.

---

3.
Entry from the Alexandria database: a relaxed Nd2CdGe crystal (PBE).

Cell: 4.0253 5.1286 5.1286 Å, 90.00 90.00 90.00°
Last column: nearest neighbours and their distance in Å.
Atoms (fractional coordinates):
1 Nd 0.0000 0.0000 0.5000  4 Cd 3.26, 4 Ge 3.26, 4 Nd 3.63
2 Cd 0.5000 0.5000 0.5000  8 Nd 3.26, 4 Ge 3.63
3 Nd 0.0000 0.5000 0.0000  4 Cd 3.26, 4 Ge 3.26, 4 Nd 3.63
4 Ge 0.5000 0.0000 0.0000  8 Nd 3.26, 4 Cd 3.63

Computed properties:
Its space group is P4/mmm (123). As for the formation energy: -0.499 eV/atom. For the total moment, the calculation gives 0.0 μB/cell. The density of states at the Fermi level is 2.800 states/eV per cell. The volume is 26.47 Å³/atom.

---

4.
Entry from the Alexandria database: a relaxed NdCdGe crystal (PBE).

Cell: 4.8139 4.8139 4.8139 Å, 60.00 60.00 60.00°
Last column: nearest neighbours and their distance in Å.
Atoms (fractional coordinates):
1 Cd 0.5000 0.5000 0.5000  4 Ge 2.95
2 Nd 0.0000 0.0000 0.0000  4 Ge 2.95
3 Ge 0.2500 0.2500 0.2500  4 Cd 2.95, 4 Nd 2.95

Computed properties:
Its space group is F-43m (216). As for the formation energy: -0.415 eV/atom. For the total moment, the calculation gives 0.0 μB/cell. The density of states at the Fermi level is 1.444 states/eV per cell. The volume is 26.29 Å³/atom.